Density functional theory data (PBE-GGA) for an optimized crystal structure of NbReSi.

## Properties
Its total DFT energy (no corrections) is -9.818 eV/atom. The symmetry is Ima2 (46).

Cell lengths 7.5727, 7.5727, 7.5727 Å; angles 125.04, 79.70, 127.21 degrees
Last column: nearest neighbours and their distance in Å.
Fractional coordinates of all 18 atoms:
Nb 0.0036 0.2500 0.2536  5 Si 2.67-2.71, 4 Re 2.86-2.88
Nb 0.1648 0.1276 0.5372  5 Si 2.63-2.71, 2 Re 2.95
Nb 0.1867 0.6319 0.0548  5 Si 2.66-2.96, 6 Re 2.80-2.88
Nb 0.5771 0.1319 0.9452  5 Si 2.66-2.96, 6 Re 2.80-2.88
Nb 0.5905 0.6276 0.4628  5 Si 2.63-2.71, 2 Re 2.95
Nb 0.9964 0.7500 0.7464  5 Si 2.67-2.71, 4 Re 2.86-2.88
Re 0.3369 0.3369 0.0000  4 Si 2.50-2.59
Re 0.3369 0.8369 0.5000  4 Si 2.50-2.59
Re 0.5867 0.1783 0.3386  4 Si 2.43-2.55
Re 0.5867 0.7481 0.9084  4 Si 2.43-2.55
Re 0.8397 0.2481 0.6614  4 Si 2.43-2.55
Re 0.8397 0.6783 0.0916  4 Si 2.43-2.55
Si 0.2522 0.0801 0.1636  3 Re 2.55-2.59, 6 Nb 2.65-2.71
Si 0.2522 0.5887 0.6722  3 Re 2.55-2.59, 6 Nb 2.65-2.71
Si 0.5733 0.3496 0.7237  6 Re 2.43-2.50, 2 Nb 2.63-2.71
Si 0.6258 0.8496 0.2763  6 Re 2.43-2.50, 2 Nb 2.63-2.71
Si 0.9165 0.0887 0.8364  3 Re 2.55-2.59, 6 Nb 2.65-2.71
Si 0.9165 0.5801 0.3278  3 Re 2.55-2.59, 6 Nb 2.65-2.71